BiSb5: relaxed, PBE.

Properties
Its size of the total moment is 0.00 Bohr magnetons per cell. For the uncorrected energy, the calculation gives -3.865 eV/atom. As for the space-group type: No. 65.

Cell: 3.7267 5.5130 8.6193 Å, 108.65 90.00 90.00°
Element x y z (fractional)
Sb1 0.5000 0.8265 0.6530
Sb2 0.0000 0.6638 0.3275
Sb3 0.5000 0.5000 0.0000
Sb4 0.0000 0.3362 0.6725
Sb5 0.5000 0.1735 0.3470
Bi1 0.0000 0.0000 0.0000

NdSm2Sn: relaxed, PBE.

Properties
For the energy above the most stable polymorph in this dataset, the calculation gives 0.126 eV per atom. Its size of the total moment is 0.00 Bohr magnetons per cell. For the uncorrected energy, the calculation gives -4.871 eV/atom. As for the space-group type: No. 63. Its formation energy is -30.8 kJ per mole of atoms.

Cell: 5.6197 7.1457 6.8724 Å, 90.00 90.00 113.16°
Element x y z (fractional)
Nd1 0.0704 0.1409 0.7500
Nd2 0.9296 0.8591 0.2500
Sm1 0.3661 0.7321 0.9821
Sm2 0.6339 0.2679 0.0179
Sm3 0.6339 0.2679 0.4821
Sm4 0.3661 0.7321 0.5179
Sn1 0.8304 0.6608 0.7500
Sn2 0.1696 0.3392 0.2500

Ta2TcAs: relaxed, PBE.

Properties
Its size of the total moment is 0.00 Bohr magnetons per cell. For the uncorrected energy, the calculation gives -9.796 eV/atom. As for the space-group type: No. 119. Its formation energy is -11.1 kJ per mole of atoms.

Cell: 5.3659 5.3659 5.3659 Å, 138.96 138.96 59.43°
Element x y z (fractional)
As1 0.7500 0.2500 0.5000
Tc1 0.5000 0.5000 0.0000
Ta1 0.0000 0.0000 0.0000
Ta2 0.2500 0.7500 0.5000